VASP calculation (GGA+U) on a geometry-optimized Ni3ClF structure.

Results
Its electronic total energy is -10.8 eV/cell. The space group is Pm-3m, No. 221. The calculated density is 5.02 g cm⁻³.

abc: 4.2393 4.2393 4.2393
angles: 90.00 90.00 90.00
With the nearest neighbours (Å) after each atom.
Atoms (fractional coordinates):
Ni 0.0000 0.5000 0.0000  2 F 2.12
Ni 0.5000 0.0000 0.0000  2 F 2.12
Ni 0.0000 0.0000 0.5000  2 F 2.12
Cl 0.5000 0.5000 0.5000  12 Ni 3.00
F 0.0000 0.0000 0.0000  6 Ni 2.12